Material: La2Re3B7
Method: DFT, SCAN
State: single point on PBEsol structure

Properties
- ΔH_f (0 K) (eV/atom) = -0.50
- total moment (μB/cell) = 0.0
- uncorrected energy (eV/f.u.) = -357.54
- space-group type = Pcca

Lattice parameters (Å, degrees): 6.7563 7.6174 11.6187 90.00 90.00 90.00
Last column: nearest neighbours and their distance in Å.
Atoms (fractional coordinates):
B (0.6981, 0.3703, 0.5382)  1 B 1.78
B (0.6981, 0.1298, 0.0382)  1 B 1.78
La (0.2359, 0.8241, 0.6775)  8 B 2.76-2.99
Re (0.3947, 0.9088, 0.4198)  6 B 2.10-2.27
B (0.3675, 0.5000, 0.7500)  2 B 1.85
B (0.8773, 0.9591, 0.8168)  3 B 1.67-1.85
B (0.6981, 0.8702, 0.4618)  1 B 1.78
B (0.3019, 0.6298, 0.4618)  1 B 1.78
La (0.2359, 0.6759, 0.1775)  8 B 2.76-2.99
La (0.2359, 0.1759, 0.8225)  8 B 2.76-2.99
Re (0.6053, 0.9088, 0.9198)  6 B 2.10-2.27
B (0.8962, 0.9666, 0.5411)  3 B 1.75-1.78
Re (0.6053, 0.4088, 0.0802)  6 B 2.10-2.27
B (0.3675, 0.0000, 0.2500)  2 B 1.85
B (0.1227, 0.4591, 0.6832)  3 B 1.67-1.85
B (0.8773, 0.4591, 0.1832)  3 B 1.67-1.85
B (0.8962, 0.5334, 0.0411)  3 B 1.75-1.78
B (0.1038, 0.4666, 0.9589)  3 B 1.75-1.78
Re (0.6053, 0.0912, 0.5802)  6 B 2.10-2.27
B (0.3019, 0.3703, 0.0382)  1 B 1.78
B (0.8773, 0.0409, 0.6832)  3 B 1.67-1.85
Re (0.6053, 0.5912, 0.4198)  6 B 2.10-2.27
B (0.6981, 0.6298, 0.9618)  1 B 1.78
B (0.3019, 0.8702, 0.9618)  1 B 1.78
B (0.6325, 0.0000, 0.7500)  2 B 1.85
Re (0.0000, 0.2500, 0.5684)  8 B 2.20-2.29
B (0.8962, 0.0334, 0.9589)  3 B 1.75-1.78
Re (0.3947, 0.0912, 0.0802)  6 B 2.10-2.27
La (0.7641, 0.3241, 0.8225)  8 B 2.76-2.99
B (0.3019, 0.1298, 0.5382)  1 B 1.78
Re (0.0000, 0.7500, 0.9316)  8 B 2.20-2.29
B (0.6325, 0.5000, 0.2500)  2 B 1.85
B (0.1038, 0.5334, 0.5411)  3 B 1.75-1.78
B (0.1038, 0.0334, 0.4589)  3 B 1.75-1.78
Re (0.0000, 0.2500, 0.0684)  8 B 2.20-2.29
Re (0.0000, 0.7500, 0.4316)  8 B 2.20-2.29
B (0.1038, 0.9666, 0.0411)  3 B 1.75-1.78
La (0.7641, 0.8241, 0.1775)  8 B 2.76-2.99
B (0.1227, 0.0409, 0.1832)  3 B 1.67-1.85
B (0.1227, 0.9591, 0.3168)  3 B 1.67-1.85
Re (0.3947, 0.4088, 0.5802)  6 B 2.10-2.27
B (0.8773, 0.5409, 0.3168)  3 B 1.67-1.85
La (0.7641, 0.1759, 0.3225)  8 B 2.76-2.99
La (0.2359, 0.3241, 0.3225)  8 B 2.76-2.99
Re (0.3947, 0.5912, 0.9198)  6 B 2.10-2.27
B (0.1227, 0.5409, 0.8168)  3 B 1.67-1.85
B (0.8962, 0.4666, 0.4589)  3 B 1.75-1.78
La (0.7641, 0.6759, 0.6775)  8 B 2.76-2.99